5
Lattice="3.429 0.000 0.000 0.000 4.927 0.000 0.000 0.000 4.927" Properties=species:S:1:pos:R:3 comment="LaRe2AgH (meta-GGA SCAN, PBEsol geometry)" energy_ev_per_atom=-41.8625 pbc="T T T"
Re 0.000 2.463 0.000
H 1.714 0.000 0.000
Ag 1.714 2.463 2.463
La 0.000 0.000 0.000
Re 0.000 0.000 2.463